La4Pr11Ho9 GGA-PBE relaxed; final energy = -111.75 eV for the cell shown; calculated formation energy = 0.0724 eV per atom; density = 7.17 Mg/m³
1.0
3.759 0.000 0.000
0.000 14.264 -6.033
0.000 0.058 15.487
Pr Ho La
11 9 4
Cartesian
0.000 12.011 -2.620 Pr
0.000 0.000 0.000 Pr
0.000 8.520 11.217 Pr
0.000 2.311 12.074 Pr
0.000 0.658 6.027 Pr
0.000 9.077 1.825 Pr
0.000 4.133 2.728 Pr
0.000 5.801 -1.763 Pr
0.000 13.663 3.427 Pr
0.000 10.188 6.726 Pr
0.000 5.245 7.629 Pr
1.879 0.938 2.863 Ho
1.879 2.362 8.871 Ho
1.879 11.959 0.583 Ho
1.879 9.085 -1.314 Ho
1.879 11.321 9.717 Ho
1.879 13.384 6.591 Ho
1.879 7.161 4.727 Ho
1.879 5.236 10.768 Ho
1.879 3.001 -0.263 Ho
1.879 3.517 5.426 La
1.879 10.804 4.028 La
1.879 6.372 1.102 La
1.879 7.950 8.352 La